# ThScTcPt GGA-PBE relaxed
# V = 81.8 Å³/f.u.
# ΔH_f (0 K) = -59.0 kJ per mole of atoms
data_ThScTcPt
_symmetry_space_group_name_H-M 'F -4 3 m'
_symmetry_Int_Tables_number 216
_symmetry_space_group_name_Hall 'F -4 2 3'
_cell_length_a 6.892
_cell_length_b 6.892
_cell_length_c 6.892
_cell_angle_alpha 90.00
_cell_angle_beta 90.00
_cell_angle_gamma 90.00
loop_
_atom_site_label
_atom_site_type_symbol
_atom_site_fract_x
_atom_site_fract_y
_atom_site_fract_z
Th1 Th 0.000 0.000 0.000
Sc1 Sc 0.000 0.000 0.500
Tc1 Tc 0.250 0.250 0.250
Pt1 Pt 0.250 0.250 0.750

=====

# ScVTcPt GGA-PBE relaxed
# V = 62.5 Å³/f.u.
# ΔH_f (0 K) = -47.8 kJ per mole of atoms
data_ScVTcPt
_symmetry_space_group_name_H-M 'F -4 3 m'
_symmetry_Int_Tables_number 216
_symmetry_space_group_name_Hall 'F -4 2 3'
_cell_length_a 6.300
_cell_length_b 6.300
_cell_length_c 6.300
_cell_angle_alpha 90.00
_cell_angle_beta 90.00
_cell_angle_gamma 90.00
loop_
_atom_site_label
_atom_site_type_symbol
_atom_site_fract_x
_atom_site_fract_y
_atom_site_fract_z
Sc1 Sc 0.000 0.000 0.000
V1 V 0.000 0.000 0.500
Tc1 Tc 0.250 0.250 0.750
Pt1 Pt 0.250 0.250 0.250

=====

# YScTcPt GGA-PBE relaxed
# V = 75.6 Å³/f.u.
# ΔH_f (0 K) = -57.4 kJ per mole of atoms
data_YScTcPt
_symmetry_space_group_name_H-M 'F -4 3 m'
_symmetry_Int_Tables_number 216
_symmetry_space_group_name_Hall 'F -4 2 3'
_cell_length_a 6.711
_cell_length_b 6.711
_cell_length_c 6.711
_cell_angle_alpha 90.00
_cell_angle_beta 90.00
_cell_angle_gamma 90.00
loop_
_atom_site_label
_atom_site_type_symbol
_atom_site_fract_x
_atom_site_fract_y
_atom_site_fract_z
Y1 Y 0.000 0.000 0.000
Sc1 Sc 0.000 0.000 0.500
Tc1 Tc 0.250 0.250 0.750
Pt1 Pt 0.250 0.250 0.250

=====

# Sc2TePt GGA-PBE relaxed
# V = 81.6 Å³/f.u.
# energy = -0.2330 hartree per atom
data_Sc2TePt
_symmetry_space_group_name_H-M 'I -4 m 2'
_symmetry_Int_Tables_number 119
_symmetry_space_group_name_Hall 'I -4 -2'
_cell_length_a 4.013
_cell_length_b 4.013
_cell_length_c 10.133
_cell_angle_alpha 90.00
_cell_angle_beta 90.00
_cell_angle_gamma 90.00
loop_
_atom_site_label
_atom_site_type_symbol
_atom_site_fract_x
_atom_site_fract_y
_atom_site_fract_z
Sc1 Sc 0.000 0.000 0.000
Sc2 Sc 0.000 0.500 0.250
Te1 Te 0.000 0.500 0.750
Pt1 Pt 0.000 0.000 0.500